K3CaMn, relaxed, DFT PBE; E above lowest polymorph = 0.291 eV/atom; Fermi-level density of states = 8.1 states/eV/cell; formation enthalpy at 0 K = 5.2 eV/f.u.; space-group type = Pm-3m, No. 221; calculated density = 0.84 Mg/m³; E_tot = -1.8476 eV per atom
1.0
7.483 0.000 0.000
0.000 7.483 0.000
0.000 0.000 7.483
K Ca Mn
3 1 1
Direct
0.000 0.000 0.500 K
0.000 0.500 0.000 K
0.500 0.000 0.000 K
0.000 0.000 0.000 Ca
0.500 0.500 0.500 Mn

***

KCa4Mn, relaxed, DFT PBE; Fermi-level density of states = 6.0 states/eV/cell; formation enthalpy at 0 K = 3.5 eV/f.u.; space-group type = F-43m, No. 216; calculated density = 1.63 Mg/m³; E_tot = -2.4647 eV per atom
1.0
0.000 5.063 5.063
5.063 0.000 5.063
5.063 5.063 0.000
K Ca Mn
1 4 1
Direct
0.000 0.000 0.000 K
0.376 0.376 0.376 Ca
0.376 0.376 0.872 Ca
0.376 0.872 0.376 Ca
0.872 0.376 0.376 Ca
0.750 0.750 0.750 Mn

***

KCaMn, relaxed, DFT PBE; Fermi-level density of states = 3.5 states/eV/cell; formation enthalpy at 0 K = 2.3 eV/f.u.; space-group type = P3m1, No. 156; calculated density = 2.11 Mg/m³; E_tot = -3.3072 eV per atom
1.0
5.810 0.000 0.000
-2.905 5.032 0.000
0.000 0.000 3.616
K Ca Mn
1 1 1
Direct
0.000 0.000 0.000 K
0.333 0.667 0.634 Ca
0.667 0.333 0.305 Mn

***

KCaMn, relaxed, DFT PBE; Fermi-level density of states = 3.3 states/eV/cell; formation enthalpy at 0 K = 1.8 eV/f.u.; space-group type = I4mm, No. 107; calculated density = 1.99 Mg/m³; E_tot = -3.4744 eV per atom
1.0
-1.915 1.915 7.648
1.915 -1.915 7.648
1.915 1.915 -7.648
K Ca Mn
1 1 1
Direct
0.000 0.000 0.000 K
0.728 0.728 0.000 Ca
0.335 0.335 0.000 Mn

***

KCaMn4, relaxed, DFT PBE; Fermi-level density of states = 7.1 states/eV/cell; formation enthalpy at 0 K = 4.7 eV/f.u.; space-group type = F-43m, No. 216; calculated density = 3.71 Mg/m³; E_tot = -5.8496 eV per atom
1.0
0.000 4.059 4.059
4.059 0.000 4.059
4.059 4.059 0.000
K Ca Mn
1 1 4
Direct
0.000 0.000 0.000 K
0.250 0.250 0.250 Ca
0.144 0.619 0.619 Mn
0.619 0.144 0.619 Mn
0.619 0.619 0.144 Mn
0.619 0.619 0.619 Mn

***

KCaMn, relaxed, DFT PBE; Fermi-level density of states = 4.3 states/eV/cell; formation enthalpy at 0 K = 3.5 eV/f.u.; space-group type = F-43m, No. 216; calculated density = 1.75 Mg/m³; E_tot = -2.9159 eV per atom
1.0
0.000 3.990 3.990
3.990 0.000 3.990
3.990 3.990 0.000
K Ca Mn
1 1 1
Direct
0.000 0.000 0.000 K
0.750 0.750 0.750 Ca
0.250 0.250 0.250 Mn

***

KCaMn, relaxed, DFT PBE; Fermi-level density of states = 4.0 states/eV/cell; formation enthalpy at 0 K = 2.1 eV/f.u.; space-group type = P3m1, No. 156; calculated density = 1.99 Mg/m³; E_tot = -3.3853 eV per atom
1.0
3.807 0.000 0.000
-1.904 3.297 0.000
0.000 0.000 8.915
K Ca Mn
1 1 1
Direct
0.000 0.000 0.000 K
0.667 0.333 0.578 Ca
0.333 0.667 0.322 Mn

***

KCaMn, relaxed, DFT PBE; Fermi-level density of states = 4.1 states/eV/cell; formation enthalpy at 0 K = 2.6 eV/f.u.; space-group type = F-43m, No. 216; calculated density = 1.75 Mg/m³; E_tot = -3.2148 eV per atom
1.0
0.000 3.992 3.992
3.992 0.000 3.992
3.992 3.992 0.000
K Ca Mn
1 1 1
Direct
0.000 0.000 0.000 K
0.500 0.500 0.500 Ca
0.250 0.250 0.250 Mn

***

We obtain size of the total moment values of 4.9; 4.9; 4.2; 3.8; 15.0; 4.2; 4.1; 4.3 Bohr magnetons per cell for the records listed above, in that order.